## Sr3Tl5 (PBE)

Data for an optimized crystal structure of Sr3Tl5.

Unit cell a=6.9365 b=6.9365 c=11.2638 alpha=90.00 beta=90.00 gamma=77.90
Positions (direct):
Sr (0.0991, 0.9009, 0.7500)
Sr (0.2899, 0.2899, 0.0000)
Sr (0.2899, 0.2899, 0.5000)
Sr (0.7101, 0.7101, 0.0000)
Sr (0.7101, 0.7101, 0.5000)
Sr (0.9009, 0.0991, 0.2500)
Tl (0.0237, 0.5626, 0.2500)
Tl (0.1980, 0.8020, 0.0406)
Tl (0.1980, 0.8020, 0.4594)
Tl (0.4374, 0.9763, 0.2500)
Tl (0.4897, 0.5103, 0.7500)
Tl (0.5103, 0.4897, 0.2500)
Tl (0.5626, 0.0237, 0.7500)
Tl (0.8020, 0.1980, 0.5406)
Tl (0.8020, 0.1980, 0.9594)
Tl (0.9763, 0.4374, 0.7500)

Values from the calculation:
The crystal system is orthorhombic. The magnetic moment comes out at 0.000 μB/cell. The formation energy is -0.359 eV per atom. The total energy is -39.49 eV per cell.